A relaxed structure of LiTbHfRe, computed with PBE.

Output
SG: F-43m
ΔE_f in meV/atom: -27

a b c (Å): 4.7776 4.7776 4.7776
angles (deg): 60.00 60.00 60.00
Last column: nearest neighbours and their distance in Å.
Atoms (fractional coordinates):
Re 0.0000 0.0000 0.0000  4 Hf 2.93, 4 Tb 2.93
Tb 0.7500 0.7500 0.7500  4 Li 2.93, 4 Re 2.93
Hf 0.2500 0.2500 0.2500  4 Re 2.93, 4 Li 2.93
Li 0.5000 0.5000 0.5000  4 Tb 2.93, 4 Hf 2.93